(1)
## NpMnO4 (PBE+U)

Data for an optimized crystal structure of NpMnO4.

Cell: 6.7060 6.8385 3.4730 Å, 90.00 90.00 90.00°
With the nearest neighbours (Å) after each atom.
Space group Cmmm (No. 65)
Asymmetric unit:
Np 0.0000 0.0000 0.0000 [2 per cell]  6 O 1.96-2.17
Mn 0.0000 0.5000 0.5000 [2 per cell]  6 O 2.12-2.22
O 0.0000 0.1893 0.5000 [4 per cell]  1 Mn 2.12, 2 Np 2.17
O 0.2072 0.5000 0.0000 [4 per cell]  1 Np 1.96

Values from the calculation:
M_tot in μB/f.u.: 6.0
Total DFT energy (no corrections) in eV per cell: -109.9
V in Å³/cell: 159.3

=====

(2)
## NpMn6O12 (PBE+U)

Data for an optimized crystal structure of NpMn6O12.

Cell: 9.4569 9.4569 8.4021 Å, 90.00 90.00 120.00°
With the nearest neighbours (Å) after each atom.
Space group R-3 (No. 148, hexagonal axes)
Asymmetric unit:
Np 0.0000 0.0000 0.0000 [3 per cell]  6 O 2.04
Mn 0.0294 0.2435 0.6391 [18 per cell]  4 O 1.96-2.10
O 0.0087 0.2179 0.3967 [18 per cell]  3 Mn 1.99-2.10
O 0.0181 0.1874 0.8655 [18 per cell]  1 Mn 1.96, 1 Np 2.04

Values from the calculation:
M_tot in μB/f.u.: 25.0
Total DFT energy (no corrections) in eV per cell: -452.8
V in Å³/cell: 650.8

=====

(3)
## NpMn2O6 (PBE+U)

Data for an optimized crystal structure of NpMn2O6.

Cell: 4.9669 4.9669 9.1301 Å, 90.00 90.00 90.00°
With the nearest neighbours (Å) after each atom.
Space group P4_2/mnm (No. 136)
Asymmetric unit:
Np 0.0000 0.0000 0.0000 [2 per cell]  6 O 2.02-2.22
Mn 0.0000 0.0000 0.3385 [4 per cell]  4 O 1.96-1.98
O 0.1815 0.1815 0.1721 [8 per cell]  1 Mn 1.98, 1 Np 2.02
O 0.1833 0.1833 0.5000 [4 per cell]  2 Mn 1.96

Values from the calculation:
M_tot in μB/f.u.: 9.0
Total DFT energy (no corrections) in eV per cell: -153.4
V in Å³/cell: 225.2

=====

(4)
## Np2MnO8 (PBE+U)

Data for an optimized crystal structure of Np2MnO8.

Cell: 11.3142 8.1583 4.2036 Å, 90.00 108.78 90.00°
With the nearest neighbours (Å) after each atom.
Space group C2 (No. 5)
Asymmetric unit:
Np 0.2437 0.0000 0.0021 [4 per cell]  2 O 1.79-1.84
Mn 0.0000 0.3304 0.0000 [2 per cell]  2 O 1.98
O 0.0881 0.9209 0.8547 [4 per cell]  1 Np 1.79
O 0.0903 0.5565 0.8584 [4 per cell]  1 Np 1.84
O 0.1616 0.2523 0.9660 [4 per cell]  1 Mn 1.98
O 0.2461 0.0029 0.5006 [4 per cell]  2 Np 2.09-2.12

Values from the calculation:
M_tot in μB/f.u.: 3.1
Total DFT energy (no corrections) in eV per cell: -190.7
V in Å³/cell: 367.4

=====

(5)
## NpMn3O8 (PBE+U)

Data for an optimized crystal structure of NpMn3O8.

Cell: 5.0631 5.0631 5.0631 Å, 90.00 90.00 90.00°
With the nearest neighbours (Å) after each atom.
Space group Pm-3m (No. 221)
Asymmetric unit:
Np 0.0000 0.0000 0.0000 [1 per cell]  8 O 2.17
Mn 0.0000 0.5000 0.5000 [3 per cell]  8 O 2.20
O 0.2472 0.2472 0.2472 [8 per cell]  1 Np 2.17, 3 Mn 2.20

Values from the calculation:
M_tot in μB/f.u.: 12.0
Total DFT energy (no corrections) in eV per cell: -94.9
V in Å³/cell: 129.8

=====

(6)
## NpMn2O4 (PBE+U)

Data for an optimized crystal structure of NpMn2O4.

Cell: 11.6846 3.6066 5.4450 Å, 90.00 106.93 90.00°
With the nearest neighbours (Å) after each atom.
Space group C2/m (No. 12)
Asymmetric unit:
Np 0.0000 0.0000 0.0000 [2 per cell]  6 O 2.22-2.29
Mn 0.1459 0.5000 0.5333 [4 per cell]  4 O 2.05-2.15
O 0.0517 0.5000 0.7973 [4 per cell]  1 Mn 2.05, 2 Np 2.29
O 0.1622 0.0000 0.3360 [4 per cell]  3 Mn 2.14-2.15, 1 Np 2.22

Values from the calculation:
M_tot in μB/f.u.: 13.0
Total DFT energy (no corrections) in eV per cell: -125.9
V in Å³/cell: 219.5

=====

(7)
## NpMn3O6 (PBE+U)

Data for an optimized crystal structure of NpMn3O6.

Cell: 9.3459 9.3459 11.5871 Å, 90.00 90.00 120.00°
With the nearest neighbours (Å) after each atom.
Space group R-3c (No. 167, hexagonal axes)
Asymmetric unit:
Np 0.0000 0.0000 0.0000 [6 per cell]  6 O 2.08
Mn 0.0000 0.2743 0.2500 [18 per cell]  4 O 2.10-2.13
O 0.0781 0.2127 0.4024 [36 per cell]  1 Np 2.08, 2 Mn 2.10-2.13

Values from the calculation:
Energy above the most stable polymorph in this dataset in meV/atom: 56
M_tot in μB/f.u.: 16.0
V in Å³/cell: 876.5

=====

(8)
## NpMnOsO6 (PBE+U)

Data for an optimized crystal structure of NpMnOsO6.

Cell: 5.2440 5.2440 9.4902 Å, 90.00 90.00 120.00°
With the nearest neighbours (Å) after each atom.
Space group P-31c (No. 163)
Asymmetric unit:
Np 0.3333 0.6667 0.2500 [2 per cell]  6 O 2.11
Mn 0.0000 0.0000 0.0000 [2 per cell]  6 O 2.18
Os 0.3333 0.6667 0.7500 [2 per cell]  6 O 2.01
O 0.0147 0.3479 0.6318 [12 per cell]  1 Os 2.01, 1 Np 2.11, 1 Mn 2.18

Values from the calculation:
M_tot in μB/f.u.: 4.0
Total DFT energy (no corrections) in eV per cell: -156.7
V in Å³/cell: 226.0

=====

(9)
## NpPaMnO6 (PBE+U)

Data for an optimized crystal structure of NpPaMnO6.

Cell: 5.8525 5.8525 8.9106 Å, 90.00 90.00 120.00°
With the nearest neighbours (Å) after each atom.
Space group P-31c (No. 163)
Asymmetric unit:
Np 0.3333 0.6667 0.2500 [2 per cell]  6 O 2.15
Pa 0.3333 0.6667 0.7500 [2 per cell]  6 O 2.20
Mn 0.0000 0.0000 0.0000 [2 per cell]  6 O 2.35
O 0.0058 0.3489 0.1340 [12 per cell]  1 Np 2.15, 1 Pa 2.20, 1 Mn 2.35

Values from the calculation:
M_tot in μB/f.u.: 7.0
Total DFT energy (no corrections) in eV per cell: -168.8
V in Å³/cell: 264.3

=====

(10)
## NpMnPbO6 (PBE+U)

Data for an optimized crystal structure of NpMnPbO6.

Cell: 5.1434 5.1434 9.9447 Å, 90.00 90.00 90.00°
With the nearest neighbours (Å) after each atom.
Space group P4_2nm (No. 102)
Asymmetric unit:
Np 0.0000 0.0000 0.0000 [2 per cell]  6 O 1.96-2.14
Mn 0.0000 0.0000 0.3303 [2 per cell]  6 O 2.02-2.25
Pb 0.0000 0.0000 0.6558 [2 per cell]  6 O 2.39-2.50
O 0.1668 0.1668 0.1685 [4 per cell]  1 Mn 2.02, 1 Np 2.07
O 0.1946 0.1946 0.8632 [4 per cell]  1 Np 1.96
O 0.2086 0.2086 0.4704 [4 per cell]  1 Mn 2.06, 1 Np 2.14

Values from the calculation:
M_tot in μB/f.u.: 4.0
Total DFT energy (no corrections) in eV per cell: -141.5
V in Å³/cell: 263.1

=====

(11)
## NpMn2PbO6 (PBE+U)

Data for an optimized crystal structure of NpMn2PbO6.

Cell: 5.6913 5.6913 15.4344 Å, 90.00 90.00 120.00°
With the nearest neighbours (Å) after each atom.
Space group R3 (No. 146, hexagonal axes)
Asymmetric unit:
Np 0.0000 0.0000 0.0000 [3 per cell]  6 O 2.09-2.11
Mn 0.0000 0.0000 0.3080 [3 per cell]  6 O 2.13-2.38
Mn 0.0000 0.0000 0.7909 [3 per cell]  3 O 2.12
Pb 0.0000 0.0000 0.5188 [3 per cell]  6 O 2.43-2.66
O 0.0012 0.3259 0.0660 [9 per cell]  1 Np 2.11, 1 Mn 2.12
O 0.0331 0.6230 0.5796 [9 per cell]  1 Np 2.09, 1 Mn 2.13

Values from the calculation:
M_tot in μB/f.u.: 11.0
Total DFT energy (no corrections) in eV per cell: -243.9
V in Å³/cell: 433.0

=====

(12)
## NpMnPb2O8 (PBE+U)

Data for an optimized crystal structure of NpMnPb2O8.

Cell: 7.1869 7.2624 6.6564 Å, 90.00 90.00 90.00°
With the nearest neighbours (Å) after each atom.
Space group Cmmm (No. 65)
Asymmetric unit:
Np 0.0000 0.0000 0.0000 [2 per cell]  6 O 2.02-2.18
Mn 0.0000 0.0000 0.5000 [2 per cell]  6 O 2.14-2.24
Pb 0.0000 0.5000 0.2563 [4 per cell]  6 O 2.18-2.31
O 0.0000 0.1831 0.2285 [8 per cell]  1 Np 2.02, 1 Mn 2.24
O 0.1967 0.5000 0.0000 [4 per cell]  1 Np 2.18, 2 Pb 2.22
O 0.2027 0.5000 0.5000 [4 per cell]  1 Mn 2.14, 2 Pb 2.18

Values from the calculation:
M_tot in μB/f.u.: 4.0
Total DFT energy (no corrections) in eV per cell: -173.9
V in Å³/cell: 347.4

=====

(13)
## Pm2NpMnO8 (PBE+U)

Data for an optimized crystal structure of Pm2NpMnO8.

Cell: 4.5931 5.2584 7.2679 Å, 84.37 88.51 84.37°
With the nearest neighbours (Å) after each atom.
Space group P-1 (No. 2)
Asymmetric unit:
Pm 0.0870 0.0100 0.2382 [2 per cell]  5 O 2.28-2.45
Np 0.5000 0.5000 0.5000 [1 per cell]  4 O 1.96-1.97
Mn 0.5000 0.5000 0.0000 [1 per cell]  4 O 1.90-1.96
O 0.1396 0.7324 0.5234 [2 per cell]  1 Np 1.97
O 0.2058 0.7824 0.9908 [2 per cell]  1 Mn 1.90
O 0.3565 0.3652 0.2430 [2 per cell]  1 Mn 1.96
O 0.3806 0.2201 0.6757 [2 per cell]  1 Np 1.96

Values from the calculation:
M_tot in μB/f.u.: 4.0
Total DFT energy (no corrections) in eV per cell: -101.9
V in Å³/cell: 173.8

=====

(14)
## PmNpMn2O8 (PBE+U)

Data for an optimized crystal structure of PmNpMn2O8.

Cell: 4.8677 4.8729 7.0747 Å, 83.65 83.71 84.64°
With the nearest neighbours (Å) after each atom.
Space group P-1 (No. 2)
Asymmetric unit:
Pm 0.0000 0.0000 0.0000 [1 per cell]  6 O 2.34-2.36
Np 0.0000 0.0000 0.5000 [1 per cell]  6 O 1.95-2.08
Mn 0.4721 0.4722 0.2199 [2 per cell]  5 O 1.88-2.10
O 0.2009 0.7933 0.2762 [2 per cell]  1 Mn 2.00, 1 Np 2.08
O 0.2052 0.7976 0.7243 [2 per cell]  1 Mn 2.00, 1 Np 2.07
O 0.2750 0.2731 0.4467 [2 per cell]  1 Np 1.95, 1 Mn 1.98
O 0.3276 0.3258 0.9833 [2 per cell]  2 Mn 1.88-2.10

Values from the calculation:
M_tot in μB/f.u.: 8.0
Total DFT energy (no corrections) in eV per cell: -99.3
V in Å³/cell: 165.2

=====

(15)
## Pr2NpMnO8 (PBE+U)

Data for an optimized crystal structure of Pr2NpMnO8.

Cell: 4.2178 5.4145 7.6456 Å, 82.43 87.43 81.59°
With the nearest neighbours (Å) after each atom.
Space group P-1 (No. 2)
Asymmetric unit:
Pr 0.0233 0.0445 0.2346 [2 per cell]  6 O 2.31-2.58
Np 0.5000 0.5000 0.5000 [1 per cell]  4 O 1.93-1.97
Mn 0.5000 0.5000 0.0000 [1 per cell]  4 O 1.90-1.99
O 0.0835 0.7175 0.5126 [2 per cell]  1 Np 1.97
O 0.1406 0.7450 0.0364 [2 per cell]  1 Mn 1.90
O 0.4226 0.2259 0.6781 [2 per cell]  1 Np 1.93
O 0.4597 0.3167 0.2421 [2 per cell]  1 Mn 1.99

Values from the calculation:
M_tot in μB/f.u.: 4.0
Total DFT energy (no corrections) in eV per cell: -101.6
V in Å³/cell: 171.2

=====

(16)
## PrNpMn2O8 (PBE+U)

Data for an optimized crystal structure of PrNpMn2O8.

Cell: 5.2638 5.2638 11.2209 Å, 90.00 90.00 90.00°
With the nearest neighbours (Å) after each atom.
Space group I-4 (No. 82)
Asymmetric unit:
Pr 0.0000 0.0000 0.0000 [2 per cell]  8 O 2.38-2.55
Np 0.0000 0.5000 0.7500 [2 per cell]  4 O 2.03
Mn 0.0000 0.0000 0.5000 [2 per cell]  4 O 1.82
Mn 0.0000 0.5000 0.2500 [2 per cell]  4 O 2.03
O 0.1587 0.2563 0.5799 [8 per cell]  1 Mn 1.82
O 0.1994 0.1995 0.8151 [8 per cell]  1 Np 2.03, 1 Mn 2.03

Values from the calculation:
M_tot in μB/f.u.: 8.0
Total DFT energy (no corrections) in eV per cell: -195.8
V in Å³/cell: 310.9

=====

(17)
## PuNpMnO6 (PBE+U)

Data for an optimized crystal structure of PuNpMnO6.

Cell: 5.7568 5.7568 8.9870 Å, 90.00 90.00 120.00°
With the nearest neighbours (Å) after each atom.
Space group P-31c (No. 163)
Asymmetric unit:
Pu 0.3333 0.6667 0.2500 [2 per cell]  6 O 2.20
Np 0.3333 0.6667 0.7500 [2 per cell]  6 O 2.10
Mn 0.0000 0.0000 0.0000 [2 per cell]  6 O 2.33
O 0.0128 0.3535 0.6336 [12 per cell]  1 Np 2.10, 1 Pu 2.20, 1 Mn 2.33

Values from the calculation:
M_tot in μB/f.u.: 0.0
Total DFT energy (no corrections) in eV per cell: -173.8
V in Å³/cell: 257.9

=====

(18)
## Rb2NpMn2O6 (PBE+U)

Data for an optimized crystal structure of Rb2NpMn2O6.

Cell: 5.7542 9.7888 6.9842 Å, 90.00 108.40 90.00°
With the nearest neighbours (Å) after each atom.
Space group C2/m (No. 12)
Asymmetric unit:
Rb 0.0000 0.1737 0.0000 [4 per cell]  6 O 2.88-2.95
Np 0.0000 0.0000 0.5000 [2 per cell]  6 O 2.10-2.11
Mn 0.0000 0.3351 0.5000 [4 per cell]  6 O 2.23-2.31
O 0.2143 0.1587 0.6690 [8 per cell]  1 Np 2.10, 2 Mn 2.23-2.31
O 0.2500 0.0000 0.3351 [4 per cell]  1 Np 2.11, 2 Mn 2.23

Values from the calculation:
M_tot in μB/f.u.: 11.0
Total DFT energy (no corrections) in eV per cell: -164.9
V in Å³/cell: 373.3

=====

(19)
## Rb3Np2MnO9 (PBE+U)

Data for an optimized crystal structure of Rb3Np2MnO9.

Cell: 5.9975 5.9975 7.3648 Å, 90.00 90.00 120.00°
With the nearest neighbours (Å) after each atom.
Space group P-3m1 (No. 164)
Asymmetric unit:
Rb 0.0000 0.0000 0.0000 [1 per cell]  12 O 3.00
Rb 0.3333 0.6667 0.6592 [2 per cell]  12 O 2.96-3.05
Np 0.3333 0.6667 0.1741 [2 per cell]  6 O 2.00-2.15
Mn 0.0000 0.0000 0.5000 [1 per cell]  6 O 2.21
O 0.0000 0.5000 0.0000 [3 per cell]  2 Np 2.15
O 0.1735 0.3470 0.3259 [6 per cell]  1 Np 2.00, 1 Mn 2.21

Values from the calculation:
M_tot in μB/f.u.: 1.9
Total DFT energy (no corrections) in eV per cell: -112.9
V in Å³/cell: 229.4